# Ac2NiAsO6 (PBE+U, relaxed)
# **Energy**: -6.75 eV per atom
# **Calculated volume**: 13.0 Å³ per atom
data_Ac2NiAsO6
_cell_length_a 5.665
_cell_length_b 5.665
_cell_length_c 4.044
_cell_angle_alpha 90.00
_cell_angle_beta 90.00
_cell_angle_gamma 90.00
_space_group_name_H-M_alt 'P 4 m m'
_space_group_IT_number 99
loop_
_space_group_symop_operation_xyz
'x,y,z'
'-y,x,z'
'-x,-y,z'
'y,-x,z'
'-x,y,z'
'y,x,z'
'x,-y,z'
'-y,-x,z'
loop_
_atom_site_label
_atom_site_fract_x
_atom_site_fract_y
_atom_site_fract_z
Ac1 0.000 0.500 0.000
Ni1 0.000 0.000 0.503
As1 0.500 0.500 0.500
O1 0.000 0.000 0.004
O2 0.257 0.257 0.507
O3 0.500 0.500 0.014



# AcNiAs2O6 (PBE+U, relaxed)
# **Energy**: -6.09 eV per atom
# **Calculated volume**: 14.7 Å³ per atom
data_AcNiAs2O6
_cell_length_a 5.4449
_cell_length_b 5.4449
_cell_length_c 17.1517
_cell_angle_alpha 90.00
_cell_angle_beta 90.00
_cell_angle_gamma 120.00
_space_group_name_H-M_alt 'R -3'
_space_group_IT_number 148
_space_group_name_Hall '-R 3'
loop_
_atom_site_label
_atom_site_fract_x
_atom_site_fract_y
_atom_site_fract_z
Ac1 0.0000 0.0000 0.0000
Ni1 0.0000 0.0000 0.5000
As1 0.0000 0.0000 0.2682
O1 0.0104 0.3715 0.9021



# AcNiAs2O8 (PBE+U, relaxed)
# **Energy**: -6.02 eV per atom
# **Calculated volume**: 14.7 Å³ per atom
data_AcNiAs2O8
_cell_length_a 7.443
_cell_length_b 7.443
_cell_length_c 6.351
_cell_angle_alpha 90.00
_cell_angle_beta 90.00
_cell_angle_gamma 90.00
_space_group_name_H-M_alt 'I -4 m 2'
_space_group_IT_number 119
_space_group_name_Hall 'I -4 -2'
loop_
_atom_site_label
_atom_site_fract_x
_atom_site_fract_y
_atom_site_fract_z
Ac1 0.000 0.000 0.000
Ni1 0.000 0.500 0.250
As1 0.000 0.000 0.500
As2 0.000 0.500 0.750
O1 0.000 0.185 0.335
O2 0.000 0.334 0.939



# AcNi2AsO6 (PBE+U, relaxed)
# **Energy**: -6.03 eV per atom
# **Calculated volume**: 11.9 Å³ per atom
data_AcNi2AsO6
_cell_length_a 5.3482
_cell_length_b 5.3482
_cell_length_c 14.4230
_cell_angle_alpha 90.00
_cell_angle_beta 90.00
_cell_angle_gamma 120.00
_space_group_name_H-M_alt 'R 3'
_space_group_IT_number 146
_space_group_name_Hall 'R 3'
loop_
_atom_site_label
_atom_site_fract_x
_atom_site_fract_y
_atom_site_fract_z
Ac1 0.0000 0.0000 0.0000
Ni1 0.0000 0.0000 0.2206
Ni2 0.0000 0.0000 0.7369
As1 0.0000 0.0000 0.5367
O1 0.0035 0.3129 0.4738
O2 0.1138 0.7457 0.2903